Record 1
DFT (GGA-PBE) results for a relaxed Sc2CrHg crystal.

Lattice parameters (Å, degrees): 4.139 4.139 10.039 78.10 78.10 90.00
Fractional coordinates of all 8 atoms:
Sc 0.611 0.125 0.250
Sc 0.139 0.625 0.250
Sc 0.375 0.389 0.750
Sc 0.875 0.861 0.750
Cr 0.500 0.500 0.000
Cr 0.250 0.750 0.500
Hg 0.000 0.000 0.000
Hg 0.750 0.250 0.500

Calculated values
The formation energy comes out at 2.67 eV per formula unit. For the mass density, the calculation gives 6.91 g/cm3. Its calculated total energy is -4.980 eV/atom.

=====

Record 2
DFT (GGA-PBE) results for a relaxed PmDy3Y2 crystal.

Lattice parameters (Å, degrees): 6.595 7.693 7.693 89.02 90.00 90.00
Fractional coordinates of all 12 atoms:
Pm 0.750 0.895 0.895
Pm 0.250 0.105 0.105
Dy 0.250 0.405 0.405
Dy 0.750 0.595 0.595
Dy 0.500 0.250 0.750
Dy 0.000 0.250 0.750
Dy 0.500 0.750 0.250
Dy 0.000 0.750 0.250
Y 0.750 0.410 0.093
Y 0.250 0.590 0.907
Y 0.250 0.907 0.590
Y 0.750 0.093 0.410

Calculated values
The offset from the most stable computed form is 0.2105 eV per atom. The formation energy comes out at 1.37 eV per formula unit. For the mass density, the calculation gives 6.90 g/cm3. Its calculated total energy is -5.019 eV/atom.

=====

Record 3
DFT (GGA-PBE) results for a relaxed La12Mn3H5 crystal.

Lattice parameters (Å, degrees): 13.789 13.789 13.789 109.47 109.47 109.47
Last column: magnetic moment on the atom in μB.
Fractional coordinates of all 80 atoms:
Mn 0.750 0.375 0.125  2.60
Mn 0.875 0.750 0.125  2.60
Mn 0.375 0.750 0.625  2.60
Mn 0.250 0.125 0.375  2.60
Mn 0.875 0.125 0.250  2.60
Mn 0.375 0.625 0.250  2.60
Mn 0.625 0.375 0.750  2.60
Mn 0.125 0.875 0.750  2.60
Mn 0.750 0.875 0.625  2.60
Mn 0.625 0.250 0.375  2.60
Mn 0.125 0.250 0.875  2.60
Mn 0.250 0.625 0.875  2.60
H 0.125 0.375 0.250  0.00
H 0.000 0.500 0.000  0.00
H 0.000 0.000 0.000  0.00
H 0.375 0.250 0.125  0.00
H 0.500 0.000 0.500  0.00
H 0.500 0.500 0.000  0.00
H 0.125 0.750 0.375  0.00
H 0.750 0.125 0.875  0.00
H 0.750 0.625 0.375  0.00
H 0.375 0.125 0.750  0.00
H 0.625 0.875 0.250  0.00
H 0.500 0.500 0.500  0.00
H 0.500 0.000 0.000  0.00
H 0.000 0.000 0.500  0.00
H 0.250 0.375 0.625  0.00
H 0.250 0.875 0.125  0.00
H 0.000 0.500 0.500  0.00
H 0.875 0.250 0.625  0.00
H 0.625 0.750 0.875  0.00
H 0.875 0.625 0.750  0.00
La 0.718 0.122 0.031  -0.16
La 0.313 0.531 0.408  -0.16
La 0.969 0.378 0.282  -0.16
La 0.531 0.218 0.122  -0.16
La 0.596 0.718 0.687  -0.16
La 0.969 0.592 0.187  -0.16
La 0.313 0.782 0.404  -0.16
La 0.092 0.904 0.122  -0.16
La 0.592 0.969 0.687  -0.16
La 0.718 0.596 0.187  -0.16
La 0.782 0.469 0.378  -0.16
La 0.813 0.908 0.031  -0.16
La 0.122 0.718 0.531  -0.16
La 0.378 0.408 0.096  -0.16
La 0.096 0.908 0.378  -0.16
La 0.404 0.122 0.592  -0.16
La 0.096 0.187 0.218  -0.16
La 0.469 0.687 0.092  -0.16
La 0.813 0.904 0.282  -0.16
La 0.122 0.404 0.092  -0.16
La 0.378 0.969 0.782  -0.16
La 0.592 0.622 0.404  -0.16
La 0.908 0.813 0.531  -0.16
La 0.782 0.313 0.904  -0.16
La 0.408 0.378 0.596  -0.16
La 0.092 0.187 0.469  -0.16
La 0.218 0.687 0.096  -0.16
La 0.187 0.096 0.718  -0.16
La 0.622 0.031 0.218  -0.16
La 0.878 0.596 0.908  -0.16
La 0.531 0.313 0.908  -0.16
La 0.596 0.878 0.408  -0.16
La 0.904 0.813 0.782  -0.16
La 0.904 0.092 0.622  -0.16
La 0.878 0.282 0.469  -0.16
La 0.187 0.092 0.969  -0.16
La 0.622 0.592 0.904  -0.16
La 0.408 0.031 0.313  -0.16
La 0.282 0.404 0.813  -0.16
La 0.218 0.531 0.622  -0.16
La 0.908 0.096 0.878  -0.16
La 0.687 0.218 0.596  -0.16
La 0.469 0.782 0.878  -0.16
La 0.031 0.408 0.813  -0.16
La 0.404 0.282 0.313  -0.16
La 0.031 0.622 0.718  -0.16
La 0.687 0.469 0.592  -0.16
La 0.282 0.878 0.969  -0.16

Calculated values
For the mass density, the calculation gives 6.04 g/cm3. Its calculated total energy is -5.187 eV/atom.

=====

Record 4
DFT (GGA-PBE) results for a relaxed Ga2ClO2 crystal.

Lattice parameters (Å, degrees): 6.931 6.931 6.537 122.01 122.01 90.00
Fractional coordinates of all 10 atoms:
Ga 0.436 0.639 0.872
Ga 0.483 0.186 0.372
Ga 0.889 0.186 0.372
Ga 0.436 0.233 0.872
Cl 0.030 0.030 0.060
Cl 0.280 0.780 0.560
O 0.639 0.949 0.278
O 0.580 0.389 0.778
O 0.199 0.389 0.778
O 0.639 0.330 0.278

Calculated values
The offset from the most stable computed form is 0.0000 eV per atom. For the mass density, the calculation gives 3.31 g/cm3. Its calculated total energy is -4.764 eV/atom. Its raw formation energy is -1.20 eV/atom.

=====

Record 5
DFT (GGA-PBE) results for a relaxed CsSeS3 crystal.

Lattice parameters (Å, degrees): 5.157 6.829 5.214 89.92 87.91 78.96
Fractional coordinates of all 5 atoms:
Cs 0.979 0.006 0.949
Se 0.594 0.658 0.506
S 0.469 0.980 0.429
S 0.361 0.493 0.236
S 0.106 0.363 0.441

Calculated values
The offset from the most stable computed form is 0.0000 eV per atom. For the mass density, the calculation gives 2.84 g/cm3. Its calculated total energy is -3.687 eV/atom. Its raw formation energy is -0.34 eV/atom.

=====

Record 6
DFT (GGA-PBE) results for a relaxed ZnRhAu3 crystal.

Lattice parameters (Å, degrees): 5.028 5.028 5.028 90.00 90.00 90.00
Last column: magnetic moment on the atom in μB.
Fractional coordinates of all 5 atoms:
Rh 0.000 0.000 0.000  0.77
Zn 0.500 0.500 0.500  0.00
Au 0.000 0.500 0.000  0.08
Au 0.000 0.000 0.500  0.17
Au 0.500 0.000 0.000  0.04

Calculated values
The formation energy comes out at 4.70 eV per formula unit. For the mass density, the calculation gives 9.92 g/cm3. Its calculated total energy is -2.752 eV/atom.

=====

> Which value of calculated total energy does entry 4 give?

-4.764 eV/atom

=====

> Which formula does entry 5 have?

CsSeS3